Computed, not measured: an optimized crystal structure of YAlNi5 at the PBE-GGA level of DFT.

Cell lengths 7.8889, 4.8046, 9.9961 Å; angles 90.00, 90.00, 90.00 degrees
Space group Pnma (No. 62)
Asymmetric unit:
Y: 0.2473 0.2500 0.0587 x4
Al: 0.1419 0.7500 0.8580 x4
Ni: 0.0507 0.7500 0.0929 x4
Ni: 0.0659 0.0056 0.3055 x8
Ni: 0.0958 0.2500 0.5165 x4
Ni: 0.1867 0.2500 0.7504 x4


Computed, not measured: an optimized crystal structure of TePt2Br at the PBE-GGA level of DFT.

Summary:
formation energy without anion corrections = 0.362 eV per atom
E above lowest polymorph = 579 meV/atom

Cell lengths 3.6454, 7.1334, 7.6809 Å; angles 90.00, 90.00, 90.00 degrees
Space group Cmmm (No. 65)
Asymmetric unit:
Te: 0.0000 0.0000 0.0000 x2
Pt: 0.0000 0.5000 0.2388 x4
Br: 0.0000 0.0000 0.5000 x2


Computed, not measured: an optimized crystal structure of HfNb2V at the PBE-GGA level of DFT.

Summary:
E above lowest polymorph = 0 meV/atom

Cell lengths 3.2414, 3.2414, 6.8739 Å; angles 90.00, 90.00, 90.00 degrees
Space group P4/mmm (No. 123)
Asymmetric unit:
Hf: 0.0000 0.0000 0.0000 x1
Nb: 0.5000 0.5000 0.2806 x2
V: 0.0000 0.0000 0.5000 x1


Computed, not measured: an optimized crystal structure of NbAlAs2Se at the PBE-GGA level of DFT.

Summary:
formation energy without anion corrections = 0.721 eV per atom
E above lowest polymorph = 485 meV/atom

Cell lengths 4.7255, 4.7255, 4.8405 Å; angles 90.00, 90.00, 90.00 degrees
Space group P4/mmm (No. 123)
Asymmetric unit:
Nb: 0.0000 0.0000 0.0000 x1
Al: 0.5000 0.5000 0.5000 x1
As: 0.0000 0.5000 0.5000 x2
Se: 0.5000 0.5000 0.0000 x1


Computed, not measured: an optimized crystal structure of Sr2GaCl at the PBE-GGA level of DFT.

Summary:
formation energy without anion corrections = -0.988 eV per atom
E above lowest polymorph = 56 meV/atom

Cell lengths 3.7334, 3.7334, 8.4834 Å; angles 90.00, 90.00, 90.00 degrees
Space group P4/mmm (No. 123)
Asymmetric unit:
Sr: 0.0000 0.0000 0.2353 x2
Ga: 0.5000 0.5000 0.0000 x1
Cl: 0.5000 0.5000 0.5000 x1


Computed, not measured: an optimized crystal structure of Y3MgHg5 at the PBE-GGA level of DFT.

Cell lengths 9.0204, 9.0204, 6.2681 Å; angles 90.00, 90.00, 120.00 degrees
Space group P6_3/mcm (No. 193)
Asymmetric unit:
Y: 0.0000 0.3595 0.2500 x6
Mg: 0.0000 0.0000 0.0000 x2
Hg: 0.0000 0.3004 0.7500 x6
Hg: 0.3333 0.6667 0.0000 x4


| no. | VASP energy (eV/atom) | DOS at the Fermi energy (states/eV/f.u.) |
| --- | --- | --- |
| 1 | -6.0208 | 6.9 |
| 2 | -3.8619 | 3.1 |
| 3 | -9.7357 | 6.7 |
| 4 | -4.5983 | 6.9 |
| 5 | -3.0476 | 1.3 |
| 6 | -2.9407 | 5.4 |